1.
A plane-wave DFT calculation with PBE was carried out for a relaxed structure of YHoHg.

**Excess energy over the best structure of this formula in the dataset**: 253 meV/atom
**Size of the total moment**: 0.0 μB per formula unit
**Energy relative to the elements**: -0.13 eV/atom

Geometry as POSCAR:
```
YHoHg
1.0
0.000 3.595 3.595
3.595 0.000 3.595
3.595 3.595 0.000
Y Ho Hg
1 1 1
direct
0.000 0.000 0.000
0.500 0.500 0.500
0.750 0.750 0.750
```

2.
A plane-wave DFT calculation with PBE was carried out for a relaxed structure of Y2HoHg.

**Excess energy over the best structure of this formula in the dataset**: 104 meV/atom
**Size of the total moment**: 0.0 μB per formula unit
**Energy relative to the elements**: -0.10 eV/atom

Geometry as POSCAR:
```
Y2HoHg
1.0
5.406 0.000 0.000
0.000 3.633 5.768
0.000 -3.633 5.768
Y Ho Hg
4 2 2
direct
0.000 0.000 0.000
0.000 0.494 0.992
0.000 0.992 0.494
0.500 0.317 0.317
0.000 0.502 0.502
0.500 0.812 0.812
0.500 0.324 0.823
0.500 0.823 0.324
```